[1]
Compound: Sm5Dy3Tm3
Source: the Alexandria database
Functional: GGA-PBE
Structure: optimized geometry

abc: 3.4328 11.1797 11.1797
angles: 120.00 90.00 90.00
Last column: nearest neighbours and their distance in Å.
Fractional positions:
Tm: 0.5000 0.8409 0.0000  4 Tm 3.08-3.43, 2 Dy 3.23, 2 Sm 3.28
Tm: 0.5000 0.0000 0.8409  4 Tm 3.08-3.43, 2 Dy 3.23, 2 Sm 3.28
Tm: 0.5000 0.1591 0.1591  4 Tm 3.08-3.43, 2 Dy 3.23, 2 Sm 3.28
Dy: 0.0000 0.0000 0.5956  2 Tm 3.23, 2 Sm 3.35, 2 Dy 3.43
Dy: 0.0000 0.4044 0.4044  2 Tm 3.23, 2 Sm 3.35, 2 Dy 3.43
Dy: 0.0000 0.5956 0.0000  2 Tm 3.23, 2 Sm 3.35, 2 Dy 3.43
Sm: 0.5000 0.3385 0.0000  2 Tm 3.28, 2 Dy 3.35, 2 Sm 3.43
Sm: 0.5000 0.3333 0.6667  5 Sm 3.43-3.70, 6 Dy 3.81
Sm: 0.5000 0.6615 0.6615  2 Tm 3.28, 2 Dy 3.35, 2 Sm 3.43
Sm: 0.5000 0.0000 0.3385  2 Tm 3.28, 2 Dy 3.35, 2 Sm 3.43
Sm: 0.5000 0.6667 0.3333  5 Sm 3.43-3.70, 6 Dy 3.81

Computed properties:
The electronic total energy comes out at -4.289 eV per atom. The calculated volume is 371.6 Å³ per cell. The calculation puts the energy relative to the elements at 32.0 kJ/mol of atoms. Its symmetry is P-62m (189). The energy relative to the lowest polymorph listed for this composition is 0.0 kJ/mol of atoms.

***

[2]
Compound: Sc3Fe3Si2
Source: the Alexandria database
Functional: GGA-PBE
Structure: optimized geometry

abc: 4.9324 4.9324 14.2549
angles: 90.00 90.00 135.11
Last column: nearest neighbours and their distance in Å.
Fractional positions:
Si: 0.3018 0.6982 0.3466  4 Fe 2.37-2.50
Si: 0.6982 0.3018 0.6534  4 Fe 2.37-2.50
Si: 0.6982 0.3018 0.8466  4 Fe 2.37-2.50
Si: 0.3018 0.6982 0.1534  4 Fe 2.37-2.50
Fe: 0.1551 0.8449 0.7500  4 Si 2.37, 2 Fe 2.47, 1 Sc 2.53
Fe: 0.0468 0.9532 0.9092  2 Fe 2.47-2.73, 2 Si 2.50, 2 Sc 2.67
Fe: 0.0468 0.9532 0.5908  2 Fe 2.47-2.73, 2 Si 2.50, 2 Sc 2.67
Fe: 0.9532 0.0468 0.0908  2 Fe 2.47-2.73, 2 Si 2.50, 2 Sc 2.67
Fe: 0.8449 0.1551 0.2500  4 Si 2.37, 2 Fe 2.47, 1 Sc 2.53
Fe: 0.9532 0.0468 0.4092  2 Fe 2.47-2.73, 2 Si 2.50, 2 Sc 2.67
Sc: 0.3505 0.6495 0.5474  5 Fe 2.67-2.88, 3 Si 2.79-2.90, 3 Sc 2.95-2.98
Sc: 0.5672 0.4328 0.2500  3 Fe 2.53-2.77, 2 Si 2.78
Sc: 0.3505 0.6495 0.9526  5 Fe 2.67-2.88, 3 Si 2.79-2.90, 3 Sc 2.95-2.98
Sc: 0.6495 0.3505 0.4526  5 Fe 2.67-2.88, 3 Si 2.79-2.90, 3 Sc 2.95-2.98
Sc: 0.6495 0.3505 0.0474  5 Fe 2.67-2.88, 3 Si 2.79-2.90, 3 Sc 2.95-2.98
Sc: 0.4328 0.5672 0.7500  3 Fe 2.53-2.77, 2 Si 2.78

Computed properties:
The electronic total energy comes out at -7.261 eV per atom. The calculated volume is 244.7 Å³ per cell. The calculation puts the energy relative to the elements, uncorrected at -358 meV per atom. Its symmetry is Cmcm (63). The energy relative to the lowest polymorph listed for this composition is 9.2 kJ/mol of atoms.

***

[3]
Compound: TaHg3N
Source: the Alexandria database
Functional: GGA-PBE
Structure: optimized geometry

abc: 5.3953 5.3953 5.3953
angles: 90.00 90.00 90.00
Last column: nearest neighbours and their distance in Å.
Fractional positions:
Hg: 0.0000 0.0000 0.5000  2 Ta 2.70
Hg: 0.0000 0.5000 0.0000  2 Ta 2.70
Hg: 0.5000 0.0000 0.0000  2 Ta 2.70
Ta: 0.0000 0.0000 0.0000  6 Hg 2.70
N: 0.5000 0.5000 0.5000  12 Hg 3.82

Computed properties:
The electronic total energy comes out at -2.146 eV per atom. The calculated volume is 157.0 Å³ per cell. The calculation puts the energy relative to the elements, uncorrected at 2071 meV per atom. Its symmetry is Pm-3m (221). The energy relative to the lowest polymorph listed for this composition is 56.0 kJ/mol of atoms.

***

[4]
Compound: Ca2SnB
Source: the Alexandria database
Functional: GGA-PBE
Structure: optimized geometry

abc: 7.9618 7.9618 6.4968
angles: 52.21 52.21 90.00
Last column: nearest neighbours and their distance in Å.
Fractional positions:
Ca: 0.1865 0.6250 0.2500  2 B 2.62
Ca: 0.3750 0.4365 0.7500  2 B 2.62
Ca: 0.5635 0.1250 0.2500  2 B 2.62
Ca: 0.8750 0.8135 0.7500  2 B 2.62
B: 0.5000 0.5000 0.0000  4 Ca 2.62
B: 0.2500 0.7500 0.5000  4 Ca 2.62
Sn: 0.0000 0.0000 0.0000  2 B 3.24, 8 Ca 3.28-3.48
Sn: 0.7500 0.2500 0.5000  2 B 3.24, 8 Ca 3.28-3.48

Computed properties:
The electronic total energy comes out at -3.277 eV per atom. The calculated volume is 205.5 Å³ per cell. The calculation puts the energy relative to the elements at 38.0 kJ/mol of atoms. Its symmetry is I-42d (122). The energy relative to the lowest polymorph listed for this composition is 15.9 kJ/mol of atoms.

***

no.,mass density (g/cm3)
1,7.803
2,4.866
3,8.424
4,3.388